No. 1
Here is crystalline LaMg2Ge2Pd7 at its relaxed geometry from the Alexandria database. Energies are from PBE.

Geometry as POSCAR:
```
LaMg2Ge2Pd7
1.0
4.168 0.015 0.345
0.020 4.168 0.345
3.189 3.185 12.708
La Mg Ge Pd
1 2 2 7
Direct
0.000 0.000 0.000
0.665 0.665 0.334
0.335 0.335 0.666
0.811 0.811 0.689
0.189 0.189 0.311
0.500 0.500 0.000
0.224 0.224 0.500
0.776 0.776 0.500
0.816 0.316 0.184
0.316 0.816 0.184
0.684 0.184 0.816
0.184 0.684 0.816
```

Computed properties:
As for the electronic total energy: -5.0352 eV/atom.

No. 2
Here is crystalline LaMg2Ge2Pt at its relaxed geometry from the Alexandria database. Energies are from PBE.

Geometry as POSCAR:
```
LaMg2Ge2Pt
1.0
4.294 0.000 0.000
0.000 4.294 0.000
-2.147 -2.147 8.157
La Mg Ge Pt
1 2 2 1
Direct
0.500 0.500 0.000
0.250 0.750 0.500
0.750 0.250 0.500
0.147 0.147 0.295
0.853 0.853 0.705
0.000 0.000 0.000
```

Computed properties:
As for the electronic total energy: -4.3456 eV/atom.